1 | ! Li3In2Pd2, relaxed, DFT PBE; values from VASP
! Theoretical density   6.283 g cm⁻³
&SYSTEM
  ibrav = 0, nat = 7, ntyp = 3
/
ATOMIC_SPECIES
Li 6.94 Li.upf
In 114.82 In.upf
Pd 106.42 Pd.upf
ATOMIC_POSITIONS angstrom
Li 0.075 0.000 5.310
Li 0.000 0.000 0.000
Li 2.274 0.000 4.070
In 0.112 1.468 7.827
In 2.237 1.468 1.553
Pd 0.036 0.000 2.608
Pd 2.313 0.000 6.772
CELL_PARAMETERS angstrom
4.431 0.000 -0.060
0.000 2.936 0.000
-2.082 0.000 9.440

=====

2 | ! Li3In2Pd2, relaxed, DFT PBE; values from VASP
! Theoretical density   6.513 g cm⁻³
&SYSTEM
  ibrav = 0, nat = 7, ntyp = 3
/
ATOMIC_SPECIES
Li 6.94 Li.upf
In 114.82 In.upf
Pd 106.42 Pd.upf
ATOMIC_POSITIONS angstrom
Li 0.000 0.000 0.000
Li 1.001 3.273 3.017
Li 0.868 0.527 2.664
In -0.762 2.193 4.975
In 2.631 1.606 0.707
Pd 0.174 2.763 0.456
Pd 1.695 1.037 5.226
CELL_PARAMETERS angstrom
4.335 -0.011 -1.364
-2.372 3.876 -0.040
-0.094 -0.065 7.085

=====

In order of decreasing stability: 2, 1.

=====

1 | ! Li2In2Pd3, relaxed, DFT PBE; values from VASP
! Theoretical density   7.872 g cm⁻³
&SYSTEM
  ibrav = 0, nat = 7, ntyp = 3
/
ATOMIC_SPECIES
Li 6.94 Li.upf
In 114.82 In.upf
Pd 106.42 Pd.upf
ATOMIC_POSITIONS angstrom
Li -0.568 4.431 2.230
Li -0.358 1.568 2.246
In -3.009 1.819 3.648
In 2.083 4.180 0.828
Pd 0.000 0.000 0.000
Pd -0.185 2.881 -0.039
Pd -0.741 3.118 4.514
CELL_PARAMETERS angstrom
-2.294 1.411 -1.351
-3.321 0.385 6.041
4.689 4.203 -0.214

=====

2 | ! Li2In2Pd3, relaxed, DFT PBE; values from VASP
! Theoretical density   7.942 g cm⁻³
&SYSTEM
  ibrav = 0, nat = 7, ntyp = 3
/
ATOMIC_SPECIES
Li 6.94 Li.upf
In 114.82 In.upf
Pd 106.42 Pd.upf
ATOMIC_POSITIONS angstrom
Li -1.631 0.707 2.098
Li -1.645 -2.071 3.379
In -2.399 -1.468 0.364
In -0.876 0.104 5.113
Pd 0.000 0.000 0.000
Pd -3.234 1.211 4.251
Pd -0.041 -2.575 1.226
CELL_PARAMETERS angstrom
-3.373 -1.027 -2.258
2.603 -3.754 1.706
-2.506 3.418 6.029

=====

In order of decreasing stability: 2, 1.

=====

1 | ! Li3In3Pd2, relaxed, DFT PBE; values from VASP
! Theoretical density   6.934 g cm⁻³
&SYSTEM
  ibrav = 0, nat = 8, ntyp = 3
/
ATOMIC_SPECIES
Li 6.94 Li.upf
In 114.82 In.upf
Pd 106.42 Pd.upf
ATOMIC_POSITIONS angstrom
Li -2.683 0.483 1.766
Li -8.051 1.473 5.378
Li -5.330 0.172 0.886
In -2.721 1.296 4.478
In -8.012 0.623 2.546
In -5.406 1.812 6.352
Pd -2.759 2.102 7.164
Pd -5.368 0.984 3.594
CELL_PARAMETERS angstrom
-4.027 2.125 -0.694
-3.949 -2.285 0.631
-2.759 2.112 7.197

=====

2 | ! Li3In3Pd2, relaxed, DFT PBE; values from VASP
! Theoretical density   6.547 g cm⁻³
&SYSTEM
  ibrav = 0, nat = 8, ntyp = 3
/
ATOMIC_SPECIES
Li 6.94 Li.upf
In 114.82 In.upf
Pd 106.42 Pd.upf
ATOMIC_POSITIONS angstrom
Li 4.322 2.043 2.320
Li 2.171 4.003 5.842
Li 0.000 0.000 0.000
In 2.171 4.226 2.469
In 2.165 2.191 0.143
In 4.322 1.820 5.694
Pd 4.331 4.121 4.105
Pd 2.162 1.926 4.058
CELL_PARAMETERS angstrom
4.318 0.011 0.001
0.013 4.372 0.285
2.163 1.664 7.877

=====

In order of decreasing stability: 1, 2.

=====

1 | ! LiInPd4, relaxed, DFT PBE; values from VASP
! Theoretical density   9.645 g cm⁻³
&SYSTEM
  ibrav = 0, nat = 12, ntyp = 3
/
ATOMIC_SPECIES
Li 6.94 Li.upf
In 114.82 In.upf
Pd 106.42 Pd.upf
ATOMIC_POSITIONS angstrom
Li 5.651 2.033 5.649
Li 0.640 3.492 -1.324
In 1.848 1.545 2.881
In 4.443 3.980 1.445
Pd 4.687 1.697 3.137
Pd 3.355 1.585 0.541
Pd 0.580 1.237 0.393
Pd 2.908 1.677 5.438
Pd 1.603 3.828 1.189
Pd 2.935 3.939 3.784
Pd 5.710 4.288 3.933
Pd 3.383 3.848 -1.112
CELL_PARAMETERS angstrom
5.558 0.713 0.233
-0.006 4.547 -3.274
0.739 0.265 7.367

=====

2 | ! LiInPd4, relaxed, DFT PBE; values from VASP
! Theoretical density   9.572 g cm⁻³
&SYSTEM
  ibrav = 0, nat = 12, ntyp = 3
/
ATOMIC_SPECIES
Li 6.94 Li.upf
In 114.82 In.upf
Pd 106.42 Pd.upf
ATOMIC_POSITIONS angstrom
Li 2.840 0.000 2.593
Li 0.451 4.311 2.351
In 0.000 0.000 0.000
In 2.389 4.311 0.242
Pd 0.902 5.721 4.700
Pd 2.388 1.410 0.244
Pd 2.838 2.892 2.594
Pd 0.452 7.203 2.350
Pd 4.777 2.902 0.486
Pd 3.291 7.213 4.942
Pd 2.841 5.731 2.592
Pd 5.227 1.419 2.836
CELL_PARAMETERS angstrom
4.778 0.000 0.484
0.000 8.623 0.000
0.902 0.000 4.701

=====

3 | ! LiInPd4, relaxed, DFT PBE; values from VASP
! Theoretical density   8.679 g cm⁻³
&SYSTEM
  ibrav = 0, nat = 6, ntyp = 3
/
ATOMIC_SPECIES
Li 6.94 Li.upf
Pd 106.42 Pd.upf
In 114.82 In.upf
ATOMIC_POSITIONS angstrom
Li 0.000 0.000 0.000
Pd -4.561 2.223 3.446
Pd -2.758 1.541 5.257
Pd -5.324 1.581 5.896
Pd -4.396 -0.285 4.268
In -2.130 0.633 2.358
CELL_PARAMETERS angstrom
-1.858 3.734 3.256
-5.134 0.081 1.277
-1.528 -1.284 4.900

=====

In order of decreasing stability: 1, 2, 3.

=====

1 | ! LiIn2Pd4, relaxed, DFT PBE; values from VASP
! Theoretical density   8.856 g cm⁻³
&SYSTEM
  ibrav = 0, nat = 7, ntyp = 3
/
ATOMIC_SPECIES
Li 6.94 Li.upf
Pd 106.42 Pd.upf
In 114.82 In.upf
ATOMIC_POSITIONS angstrom
Li 0.000 0.000 0.000
Pd 2.119 2.119 4.547
Pd 4.238 4.238 2.367
Pd 0.000 2.119 0.000
Pd 2.119 0.000 0.000
In 2.119 2.119 1.897
In 4.238 4.238 5.017
CELL_PARAMETERS angstrom
4.238 0.000 0.000
0.000 4.238 0.000
2.119 2.119 6.914

=====

2 | ! LiIn2Pd4, relaxed, DFT PBE; values from VASP
! Theoretical density   8.905 g cm⁻³
&SYSTEM
  ibrav = 0, nat = 7, ntyp = 3
/
ATOMIC_SPECIES
Li 6.94 Li.upf
In 114.82 In.upf
Pd 106.42 Pd.upf
ATOMIC_POSITIONS angstrom
Li 0.000 0.000 0.000
In 4.564 2.807 7.719
In 1.511 0.929 2.606
Pd 5.353 3.292 5.193
Pd 0.722 0.444 5.131
Pd 3.832 2.357 2.619
Pd 2.243 1.379 7.706
CELL_PARAMETERS angstrom
4.237 0.000 1.324
1.912 3.781 1.324
-0.073 -0.045 7.677

=====

3 | ! LiIn2Pd4, relaxed, DFT PBE; values from VASP
! Theoretical density   9.262 g cm⁻³
&SYSTEM
  ibrav = 0, nat = 14, ntyp = 3
/
ATOMIC_SPECIES
Li 6.94 Li.upf
In 114.82 In.upf
Pd 106.42 Pd.upf
ATOMIC_POSITIONS angstrom
Li 0.176 -3.488 -2.995
Li -3.836 -3.742 -1.330
In -1.966 -1.024 -6.116
In -1.694 -6.206 1.791
In -1.399 -2.630 -0.743
In -2.261 -4.600 -3.582
Pd -1.840 -1.876 -3.456
Pd -0.103 -7.555 -0.080
Pd -3.557 0.325 -4.245
Pd -2.993 -0.388 -1.490
Pd -4.657 -2.121 -3.039
Pd -0.667 -6.842 -2.834
Pd -1.820 -5.354 -0.869
Pd 0.997 -5.109 -1.286
CELL_PARAMETERS angstrom
-4.606 1.941 -4.171
2.341 -3.021 -3.991
-1.394 -6.150 3.838

=====

In order of decreasing stability: 2, 3, 1.

=====

1 | ! Li6InPd2, relaxed, DFT PBE; values from VASP
! Theoretical density   4.400 g cm⁻³
&SYSTEM
  ibrav = 0, nat = 9, ntyp = 3
/
ATOMIC_SPECIES
Li 6.94 Li.upf
In 114.82 In.upf
Pd 106.42 Pd.upf
ATOMIC_POSITIONS angstrom
Li -0.748 -2.333 -1.608
Li -3.362 -5.790 -1.505
Li -2.597 -6.299 0.820
Li -2.437 -3.807 -2.717
Li 0.017 -2.841 0.717
Li -0.908 -4.824 1.929
In 0.000 0.000 0.000
Pd -2.684 -3.528 0.111
Pd -0.661 -5.104 -0.899
CELL_PARAMETERS angstrom
-4.677 -1.966 1.109
-0.507 -2.552 -4.515
1.840 -4.113 2.618

=====

2 | ! Li6InPd2, relaxed, DFT PBE; values from VASP
! Theoretical density   4.372 g cm⁻³
&SYSTEM
  ibrav = 0, nat = 9, ntyp = 3
/
ATOMIC_SPECIES
Li 6.94 Li.upf
In 114.82 In.upf
Pd 106.42 Pd.upf
ATOMIC_POSITIONS angstrom
Li 2.483 -9.084 0.255
Li 0.456 -3.729 3.824
Li 0.240 -5.280 -0.894
Li 1.536 -6.027 3.168
Li 1.433 -6.771 0.904
Li 2.699 -7.533 4.972
In 0.000 -0.001 0.000
Pd 1.791 -3.910 1.204
Pd 1.161 -8.895 2.872
CELL_PARAMETERS angstrom
-2.455 -1.225 0.515
2.538 -6.976 -1.823
2.867 -4.606 5.384

=====

In order of decreasing stability: 1, 2.